First-principles (PBE) data for AsPbSN2 after structural relaxation, as listed in the Alexandria database.

Density   5.0 g cm⁻³
E_tot   -3.940 eV per atom
Symmetry   P4/mmm (123)
Offset from the most stable computed form   82.0 kJ per mole of atoms
Formation energy without anion corrections   1.887 eV per atom

Unit cell a=4.4946 b=4.4946 c=5.6586 alpha=90.00 beta=90.00 gamma=90.00
Closest atoms and distances in Å follow each position.
Element x y z (fractional)
N (0.5000, 0.0000, 0.0000)  2 Pb 2.25
N (0.0000, 0.5000, 0.0000)  2 Pb 2.25
As (0.5000, 0.5000, 0.5000)  4 S 3.18
Pb (0.0000, 0.0000, 0.0000)  4 N 2.25
S (0.0000, 0.0000, 0.5000)  2 Pb 2.83

=====

First-principles (PBE) data for BaLiCl after structural relaxation, as listed in the Alexandria database.

Density   2.8 g cm⁻³
E_tot   -2.372 eV per atom
Symmetry   F-43m (216)
Offset from the most stable computed form   66.4 kJ per mole of atoms
Formation energy without anion corrections   -0.477 eV per atom

Unit cell a=5.3164 b=5.3164 c=5.3164 alpha=60.00 beta=60.00 gamma=60.00
Closest atoms and distances in Å follow each position.
Element x y z (fractional)
Li (0.7500, 0.7500, 0.7500)  4 Cl 3.26, 4 Ba 3.26
Ba (0.0000, 0.0000, 0.0000)  4 Li 3.26
Cl (0.5000, 0.5000, 0.5000)  4 Li 3.26

=====

First-principles (PBE) data for Er5MgSe6 after structural relaxation, as listed in the Alexandria database.

Density   8.0 g cm⁻³
E_tot   -5.367 eV per atom
Symmetry   C2/m (12)
Formation energy without anion corrections   -1.591 eV per atom

Unit cell a=6.9376 b=6.9485 c=6.9878 alpha=60.19 beta=80.41 gamma=70.41
Closest atoms and distances in Å follow each position.
Element x y z (fractional)
Se (0.2423, 0.9194, 0.6802)  1 Mg 2.74, 5 Er 2.83-2.91
Se (0.7577, 0.0806, 0.3198)  1 Mg 2.74, 5 Er 2.83-2.91
Se (0.7562, 0.7625, 0.0000)  1 Mg 2.73, 5 Er 2.87-2.94
Se (0.2423, 0.5996, 0.3198)  1 Mg 2.74, 5 Er 2.83-2.91
Se (0.7577, 0.4004, 0.6802)  1 Mg 2.74, 5 Er 2.83-2.91
Se (0.2438, 0.2375, 0.0000)  1 Mg 2.73, 5 Er 2.87-2.94
Er (0.5000, 0.5000, 0.0000)  6 Se 2.84-2.94
Er (0.0000, 0.6673, 0.6654)  6 Se 2.85-2.87
Er (0.0000, 0.3327, 0.3346)  6 Se 2.85-2.87
Er (0.5000, 0.1715, 0.6570)  6 Se 2.83-2.91
Er (0.5000, 0.8285, 0.3430)  6 Se 2.83-2.91
Mg (0.0000, 0.0000, 0.0000)  6 Se 2.73-2.74

=====

First-principles (PBE) data for Ce2HgH2 after structural relaxation, as listed in the Alexandria database.

Density   8.7 g cm⁻³
E_tot   -4.172 eV per atom
Symmetry   Fddd (70)
Offset from the most stable computed form   4.3 kJ per mole of atoms

Unit cell a=5.9871 b=5.9871 c=6.5903 alpha=103.92 beta=103.92 gamma=118.00
Closest atoms and distances in Å follow each position.
Element x y z (fractional)
Ce (0.5570, 0.4430, 0.7500)  4 H 2.30-2.31
Ce (0.1932, 0.8068, 0.7500)  4 H 2.30-2.31
Ce (0.8068, 0.1932, 0.2500)  4 H 2.30-2.31
Ce (0.4430, 0.5570, 0.2500)  4 H 2.30-2.31
H (0.5080, 0.2583, 0.0170)  4 Ce 2.30-2.31
H (0.7417, 0.4920, 0.4830)  4 Ce 2.30-2.31
H (0.2583, 0.5080, 0.5170)  4 Ce 2.30-2.31
H (0.4920, 0.7417, 0.9830)  4 Ce 2.30-2.31
Hg (0.8751, 0.1249, 0.7500)  10 Ce 3.26-3.60, 8 H 3.37-3.38
Hg (0.1249, 0.8751, 0.2500)  10 Ce 3.26-3.60, 8 H 3.37-3.38